(1)
The following is a PBE-GGA calculation of LaMgAu3 after structural relaxation, from the Alexandria database.

Computed properties:
excess energy over the best structure of this formula in the dataset = 935 meV/atom

Unit cell a=5.6257 b=5.6257 c=5.6257 alpha=90.00 beta=90.00 gamma=90.00
Last column: nearest neighbours and their distance in Å.
Atoms (fractional coordinates):
1 La 0.0000 0.0000 0.0000  6 Au 2.81
2 Mg 0.5000 0.5000 0.5000  12 Au 3.98
3 Au 0.0000 0.0000 0.5000  2 La 2.81
4 Au 0.0000 0.5000 0.0000  2 La 2.81
5 Au 0.5000 0.0000 0.0000  2 La 2.81

=====

(2)
The following is a PBE-GGA calculation of La4Mg3Au after structural relaxation, from the Alexandria database.

Computed properties:
E_tot = -3.75 eV per atom

Unit cell a=3.9329 b=3.9329 c=15.4784 alpha=90.00 beta=90.00 gamma=90.00
Last column: nearest neighbours and their distance in Å.
Atoms (fractional coordinates):
1 La 0.0000 0.0000 0.1131  4 Au 3.29, 4 Mg 3.46, 1 La 3.50
2 La 0.0000 0.0000 0.3709  8 Mg 3.38-3.42
3 La 0.0000 0.0000 0.6291  8 Mg 3.38-3.42
4 La 0.0000 0.0000 0.8869  4 Au 3.29, 4 Mg 3.46, 1 La 3.50
5 Mg 0.5000 0.5000 0.2464  8 La 3.38-3.46
6 Mg 0.5000 0.5000 0.5000  8 La 3.42
7 Mg 0.5000 0.5000 0.7536  8 La 3.38-3.46
8 Au 0.5000 0.5000 0.0000  8 La 3.29

=====

(3)
The following is a PBE-GGA calculation of La3MgAu after structural relaxation, from the Alexandria database.

Computed properties:
excess energy over the best structure of this formula in the dataset = 0 meV/atom

Unit cell a=5.8420 b=5.8420 c=5.8420 alpha=90.00 beta=90.00 gamma=90.00
Last column: nearest neighbours and their distance in Å.
Atoms (fractional coordinates):
1 La 0.0000 0.0000 0.5000  2 Au 2.92
2 La 0.0000 0.5000 0.0000  2 Au 2.92
3 La 0.5000 0.0000 0.0000  2 Au 2.92
4 Mg 0.5000 0.5000 0.5000  12 La 4.13
5 Au 0.0000 0.0000 0.0000  6 La 2.92

=====

(4)
The following is a PBE-GGA calculation of LaMg11Au after structural relaxation, from the Alexandria database.

Computed properties:
E_tot = -2.15 eV per atom

Unit cell a=7.8160 b=7.8160 c=7.7225 alpha=97.30 beta=97.30 gamma=137.01
Last column: nearest neighbours and their distance in Å.
Atoms (fractional coordinates):
1 La 0.0000 0.0000 0.0000  18 Mg 3.59-3.91, 2 Au 3.93
2 Mg 0.0000 0.0000 0.5000  2 Au 2.86, 8 Mg 2.97-3.06
3 Mg 0.0000 0.5000 0.0000  8 Mg 2.86-3.13
4 Mg 0.0093 0.3547 0.3584  8 Mg 3.04-3.40, 1 Au 3.07
5 Mg 0.2966 0.5052 0.7805  1 Au 2.86, 6 Mg 2.97-3.18
6 Mg 0.3547 0.0093 0.3584  8 Mg 3.04-3.40, 1 Au 3.07
7 Mg 0.4948 0.7034 0.2195  1 Au 2.86, 6 Mg 2.97-3.18
8 Mg 0.5000 0.0000 0.0000  8 Mg 2.86-3.13
9 Mg 0.5052 0.2966 0.7805  1 Au 2.86, 6 Mg 2.97-3.18
10 Mg 0.6453 0.9907 0.6416  8 Mg 3.04-3.40, 1 Au 3.07
11 Mg 0.7034 0.4948 0.2195  1 Au 2.86, 6 Mg 2.97-3.18
12 Mg 0.9907 0.6453 0.6416  8 Mg 3.04-3.40, 1 Au 3.07
13 Au 0.5000 0.5000 0.5000  10 Mg 2.86-3.07

=====

(5)
The following is a PBE-GGA calculation of LaMg3Au after structural relaxation, from the Alexandria database.

Computed properties:
excess energy over the best structure of this formula in the dataset = 0 meV/atom

Unit cell a=5.8184 b=6.0677 c=7.6478 alpha=90.00 beta=112.36 gamma=90.00
Last column: nearest neighbours and their distance in Å.
Atoms (fractional coordinates):
1 La 0.2187 0.2500 0.1299  4 Au 3.11-3.29, 2 Mg 3.44
2 La 0.7813 0.7500 0.8701  4 Au 3.11-3.29, 2 Mg 3.44
3 Mg 0.2122 0.0063 0.6966  2 Au 2.88-2.94, 4 Mg 2.96-3.11
4 Mg 0.2122 0.4937 0.6966  2 Au 2.88-2.94, 4 Mg 2.96-3.11
5 Mg 0.3387 0.7500 0.3937  1 Au 2.77
6 Mg 0.6613 0.2500 0.6063  1 Au 2.77
7 Mg 0.7878 0.5063 0.3034  2 Au 2.88-2.94, 4 Mg 2.96-3.11
8 Mg 0.7878 0.9937 0.3034  2 Au 2.88-2.94, 4 Mg 2.96-3.11
9 Au 0.3600 0.7500 0.0381  5 Mg 2.77-2.94
10 Au 0.6400 0.2500 0.9619  5 Mg 2.77-2.94

=====

(6)
The following is a PBE-GGA calculation of La4MgAu after structural relaxation, from the Alexandria database.

Computed properties:
excess energy over the best structure of this formula in the dataset = 166 meV/atom

Unit cell a=6.4703 b=6.4703 c=6.4703 alpha=60.00 beta=60.00 gamma=60.00
Last column: nearest neighbours and their distance in Å.
Atoms (fractional coordinates):
1 La 0.3756 0.3756 0.3756  6 La 3.22-3.25
2 La 0.3756 0.3756 0.8734  6 La 3.22-3.25
3 La 0.3756 0.8734 0.3756  6 La 3.22-3.25
4 La 0.8734 0.3756 0.3756  6 La 3.22-3.25
5 Mg 0.0000 0.0000 0.0000  12 La 3.80, 4 Au 3.96
6 Au 0.7500 0.7500 0.7500  12 La 3.79, 4 Mg 3.96